Density functional theory data (PBE-GGA) for an optimized crystal structure of PuCu2S3.

The raw formation energy comes out at -0.774 eV per atom. The magnetization is 0.672 μB per atom. The calculation puts the density of states at the Fermi level at 16.6 states/eV per cell.

abc: 6.648 3.869 9.395
angles: 90.00 98.80 90.00
Space group P2_1/m (No. 11)
Inequivalent atoms, fractional coordinates:
Pu  0.162  0.250  0.175
Cu  0.224  0.250  0.839
Cu  0.400  0.750  0.421
S  0.050  0.750  0.340
S  0.233  0.750  0.976
S  0.467  0.750  0.672